one) A plane-wave DFT calculation with PBE was carried out for a relaxed structure of ScBe3Te.

```
5
Lattice="4.641 0.000 0.000 0.000 4.641 0.000 0.000 0.000 4.641" Properties=species:S:1:pos:R:3 pbc="T T T"
Sc 0.000 0.000 0.000
Be 0.000 2.321 2.321
Be 2.321 0.000 2.321
Be 2.321 2.321 0.000
Te 2.321 2.321 2.321
```

Calculated values
symmetry: Pm-3m (221)
crystal system: cubic

two) A plane-wave DFT calculation with PBE was carried out for a relaxed structure of ScBe3Te.

```
5
Lattice="4.814 0.000 0.000 0.000 4.814 0.000 0.000 0.000 4.814" Properties=species:S:1:pos:R:3 pbc="T T T"
Sc 0.000 0.000 0.000
Be 0.000 0.000 2.407
Be 0.000 2.407 0.000
Be 2.407 0.000 0.000
Te 2.407 2.407 2.407
```

Calculated values
symmetry: Pm-3m (221)
crystal system: cubic

Q: Which of them is the most stable? A: one).

one) A plane-wave DFT calculation with PBE was carried out for a relaxed structure of ThScBe2.

```
4
Lattice="3.332 0.000 0.000 0.000 3.332 0.000 0.000 0.000 6.684" Properties=species:S:1:pos:R:3 pbc="T T T"
Th 0.000 0.000 0.000
Sc 0.000 0.000 3.342
Be 1.666 1.666 2.016
Be 1.666 1.666 4.668
```

Calculated values
symmetry: P4/mmm (123)
crystal system: tetragonal

two) A plane-wave DFT calculation with PBE was carried out for a relaxed structure of ThScBe2.

```
16
Lattice="6.723 0.000 0.000 0.000 6.723 0.000 0.000 0.000 6.723" Properties=species:S:1:pos:R:3 pbc="T T T"
Th 0.000 0.000 0.000
Th 0.000 3.362 3.362
Th 3.362 0.000 3.362
Th 3.362 3.362 0.000
Sc 0.000 0.000 3.362
Sc 0.000 3.362 0.000
Sc 3.362 0.000 0.000
Sc 3.362 3.362 3.362
Be 1.681 1.681 1.681
Be 1.681 1.681 5.043
Be 1.681 5.043 1.681
Be 1.681 5.043 5.043
Be 5.043 1.681 1.681
Be 5.043 1.681 5.043
Be 5.043 5.043 1.681
Be 5.043 5.043 5.043
```

Calculated values
symmetry: Fm-3m (225)
crystal system: cubic

Q: Which of them is the most stable? A: one).

one) A plane-wave DFT calculation with PBE was carried out for a relaxed structure of ScTiBe2.

```
4
Lattice="3.054 0.000 0.000 0.000 3.054 0.000 0.000 0.000 6.071" Properties=species:S:1:pos:R:3 pbc="T T T"
Sc 0.000 0.000 0.000
Ti 0.000 0.000 3.036
Be 1.527 1.527 1.707
Be 1.527 1.527 4.364
```

Calculated values
symmetry: P4/mmm (123)
crystal system: tetragonal

two) A plane-wave DFT calculation with PBE was carried out for a relaxed structure of ScTiBe2.

```
16
Lattice="6.960 0.000 0.000 0.000 6.960 0.000 0.000 0.000 4.818" Properties=species:S:1:pos:R:3 pbc="T T T"
Sc 0.000 0.000 0.000
Sc 0.000 3.480 1.205
Sc 3.480 0.000 3.614
Sc 3.480 3.480 2.409
Ti 0.000 0.000 2.409
Ti 0.000 3.480 3.614
Ti 3.480 0.000 1.205
Ti 3.480 3.480 0.000
Be 1.644 1.740 3.011
Be 1.740 5.124 4.216
Be 1.740 5.317 1.807
Be 1.836 1.740 0.602
Be 5.124 5.220 0.602
Be 5.220 1.644 1.807
Be 5.220 1.836 4.216
Be 5.317 5.220 3.011
```

Calculated values
symmetry: I-42d (122)
crystal system: tetragonal

three) A plane-wave DFT calculation with PBE was carried out for a relaxed structure of ScTiBe2.

```
16
Lattice="6.100 0.000 0.000 0.000 6.100 0.000 0.000 0.000 6.100" Properties=species:S:1:pos:R:3 pbc="T T T"
Sc 0.000 0.000 0.000
Sc 0.000 3.050 3.050
Sc 3.050 0.000 3.050
Sc 3.050 3.050 0.000
Ti 0.000 0.000 3.050
Ti 0.000 3.050 0.000
Ti 3.050 0.000 0.000
Ti 3.050 3.050 3.050
Be 1.525 1.525 1.525
Be 1.525 1.525 4.575
Be 1.525 4.575 1.525
Be 1.525 4.575 4.575
Be 4.575 1.525 1.525
Be 4.575 1.525 4.575
Be 4.575 4.575 1.525
Be 4.575 4.575 4.575
```

Calculated values
symmetry: Fm-3m (225)
crystal system: cubic

Q: Which of them is the most stable? A: one).

one) A plane-wave DFT calculation with PBE was carried out for a relaxed structure of Sc2BeTl2.

```
10
Lattice="7.041 0.000 0.000 0.000 7.041 0.000 0.000 0.000 4.645" Properties=species:S:1:pos:R:3 pbc="T T T"
Sc 1.104 2.416 0.000
Sc 2.416 5.937 0.000
Sc 4.624 1.104 0.000
Sc 5.937 4.624 0.000
Be 0.000 0.000 0.000
Be 3.520 3.520 0.000
Tl 1.123 4.643 2.323
Tl 2.397 1.123 2.323
Tl 4.643 5.917 2.323
Tl 5.917 2.397 2.323
```

Calculated values
symmetry: P4/mbm (127)
crystal system: tetragonal

two) A plane-wave DFT calculation with PBE was carried out for a relaxed structure of Sc2BeTl2.

```
10
Lattice="6.856 0.000 0.000 0.000 6.856 0.000 0.000 0.000 4.598" Properties=species:S:1:pos:R:3 pbc="T T T"
Sc 1.124 2.304 0.000
Sc 2.304 5.733 0.000
Sc 4.552 1.124 0.000
Sc 5.733 4.552 0.000
Be 0.000 0.000 2.299
Be 3.428 3.428 2.299
Tl 1.045 4.473 2.299
Tl 2.383 1.045 2.299
Tl 4.473 5.812 2.299
Tl 5.812 2.383 2.299
```

Calculated values
symmetry: P4/mbm (127)
crystal system: tetragonal

Q: Which of them is the most stable? A: two).

one) A plane-wave DFT calculation with PBE was carried out for a relaxed structure of ScBeV3.

```
5
Lattice="4.346 0.000 0.000 0.000 4.346 0.000 0.000 0.000 4.346" Properties=species:S:1:pos:R:3 pbc="T T T"
Sc 0.000 0.000 0.000
Be 2.173 2.173 2.173
V 0.000 0.000 2.173
V 0.000 2.173 0.000
V 2.173 0.000 0.000
```

Calculated values
symmetry: Pm-3m (221)
crystal system: cubic

two) A plane-wave DFT calculation with PBE was carried out for a relaxed structure of ScBeV3.

```
5
Lattice="4.255 0.000 0.000 0.000 4.255 0.000 0.000 0.000 4.255" Properties=species:S:1:pos:R:3 pbc="T T T"
Sc 0.000 0.000 0.000
Be 2.128 2.128 2.128
V 0.000 2.128 2.128
V 2.128 0.000 2.128
V 2.128 2.128 0.000
```

Calculated values
symmetry: Pm-3m (221)
crystal system: cubic

Q: Which of them is the most stable? A: two).

one) A plane-wave DFT calculation with PBE was carried out for a relaxed structure of ScBe2V.

```
16
Lattice="4.006 0.000 0.000 0.000 4.006 0.000 0.000 0.000 16.725" Properties=species:S:1:pos:R:3 pbc="T T T"
Sc 0.000 1.002 6.272
Sc 0.000 3.005 10.453
Sc 2.003 1.002 2.091
Sc 2.003 3.005 14.634
Be 0.000 0.000 0.000
Be 0.000 2.003 0.000
Be 1.002 1.002 12.544
Be 1.002 3.005 4.181
Be 2.003 0.000 8.362
Be 2.003 2.003 8.362
Be 3.005 1.002 12.544
Be 3.005 3.005 4.181
V 0.000 1.002 14.634
V 0.000 3.005 2.091
V 2.003 1.002 10.453
V 2.003 3.005 6.272
```

Calculated values
symmetry: I4_1/amd (141)
crystal system: tetragonal

two) A plane-wave DFT calculation with PBE was carried out for a relaxed structure of ScBe2V.

```
4
Lattice="3.039 0.000 0.000 0.000 3.039 0.000 0.000 0.000 5.736" Properties=species:S:1:pos:R:3 pbc="T T T"
Sc 0.000 0.000 0.000
Be 1.520 1.520 1.728
Be 1.520 1.520 4.009
V 0.000 0.000 2.868
```

Calculated values
symmetry: P4/mmm (123)
crystal system: tetragonal

three) A plane-wave DFT calculation with PBE was carried out for a relaxed structure of ScBe2V.

```
16
Lattice="5.935 0.000 0.000 0.000 5.935 0.000 0.000 0.000 5.935" Properties=species:S:1:pos:R:3 pbc="T T T"
Sc 0.000 0.000 0.000
Sc 0.000 2.968 2.968
Sc 2.968 0.000 2.968
Sc 2.968 2.968 0.000
Be 1.484 1.484 1.484
Be 1.484 1.484 4.451
Be 1.484 4.451 1.484
Be 1.484 4.451 4.451
Be 4.451 1.484 1.484
Be 4.451 1.484 4.451
Be 4.451 4.451 1.484
Be 4.451 4.451 4.451
V 0.000 0.000 2.968
V 0.000 2.968 0.000
V 2.968 0.000 0.000
V 2.968 2.968 2.968
```

Calculated values
symmetry: Fm-3m (225)
crystal system: cubic

Q: Which of them is the most stable? A: two).